The following is a PBE calculation of a relaxed structure of Co2CuIr, from Alexandria via LeMat-Bulk.

Calculated values
The electronic total energy comes out at -26.50 eV/cell. Its magnetic moment is 0.96 μB/atom. Its calculated volume is 49 Å³ per cell. As for the formation energy: 0.7 eV/f.u.

a b c (Å): 4.943 4.943 4.943
angles (deg): 148.08 128.70 61.70
Atoms (fractional coordinates):
1 Co 0.000 0.000 0.000
2 Co 0.767 0.267 0.500
3 Cu 0.248 0.748 0.500
4 Ir 0.513 0.513 0.000